No. 1
{"formula": "V2GeBr", "functional": "PBE", "state": "relaxed", "e_form_raw_ev_per_atom": 0.36, "dos_ef_per_ev_atom": 1.2930, "mass_density_kg_m3": 6898, "polymorph_energy_mev_per_atom": 0, "lattice_angstrom": [[0.000, 3.129, 3.129], [3.129, 0.000, 3.129], [3.129, 3.129, 0.000]], "species": ["V", "V", "Ge", "Br"], "frac_coords": [[0.250, 0.250, 0.250], [0.750, 0.750, 0.750], [0.000, 0.000, 0.000], [0.500, 0.500, 0.500]]}

=====

No. 2
{"formula": "AcLa3Ce2Se6", "functional": "PBE", "state": "relaxed", "e_form_raw_ev_per_atom": -1.91, "dos_ef_per_ev_atom": 1.3718, "mass_density_kg_m3": 6839, "lattice_angstrom": [[7.455, -0.003, -0.003], [-3.729, 6.455, -0.003], [-1.245, -2.157, 7.056]], "species": ["Se", "Se", "Se", "Se", "Se", "Se", "Ce", "Ce", "La", "La", "La", "Ac"], "frac_coords": [[0.916, 0.574, 0.750], [0.739, 0.739, 0.246], [0.426, 0.084, 0.250], [0.084, 0.426, 0.250], [0.574, 0.916, 0.750], [0.261, 0.261, 0.754], [0.333, 0.667, 0.000], [0.667, 0.333, 0.000], [0.837, 0.163, 0.500], [0.163, 0.837, 0.500], [0.500, 0.500, 0.500], [0.000, 0.000, 0.000]]}

=====

No. 3
{"formula": "PmInBi2O6", "functional": "PBE", "state": "relaxed", "e_form_raw_ev_per_atom": -1.82, "dos_ef_per_ev_atom": 0.0000, "mass_density_kg_m3": 8037, "lattice_angstrom": [[-2.462, -5.361, -1.214], [3.529, -4.776, -1.014], [0.298, -4.477, 4.226]], "species": ["O", "O", "O", "O", "O", "O", "Bi", "Bi", "In", "Pm"], "frac_coords": [[0.963, 0.612, 0.245], [0.612, 0.180, 0.245], [0.180, 0.963, 0.245], [0.134, 0.437, 0.752], [0.677, 0.134, 0.753], [0.437, 0.677, 0.752], [0.021, 0.022, 0.935], [0.522, 0.523, 0.433], [0.310, 0.310, 0.068], [0.804, 0.805, 0.587]]}

=====

No. 4
{"formula": "MgGa2Ag2", "functional": "PBE", "state": "relaxed", "delta_e_f_ev_per_fu": -0.03, "dos_ef_per_ev_atom": 0.3096, "mass_density_kg_m3": 6616, "polymorph_energy_mev_per_atom": 66, "lattice_angstrom": [[7.872, 0.000, 0.000], [0.000, 7.872, 0.000], [0.000, 0.000, 3.074]], "species": ["Ag", "Ag", "Ag", "Ag", "Ga", "Ga", "Ga", "Ga", "Mg", "Mg"], "frac_coords": [[0.370, 0.870, 0.000], [0.130, 0.370, 0.000], [0.870, 0.630, 0.000], [0.630, 0.130, 0.000], [0.330, 0.170, 0.500], [0.670, 0.830, 0.500], [0.830, 0.330, 0.500], [0.170, 0.670, 0.500], [0.000, 0.000, 0.000], [0.500, 0.500, 0.000]]}

=====

No. 5
{"formula": "CeNdBiI", "functional": "PBE", "state": "relaxed", "e_form_raw_ev_per_atom": -0.80, "dos_ef_per_ev_atom": 2.0156, "mass_density_kg_m3": 8408, "lattice_angstrom": [[-2.371, -4.648, 1.962], [-1.859, -3.887, -3.537], [2.660, -4.880, -0.428]], "species": ["Nd", "Bi", "I", "Ce"], "frac_coords": [[0.750, 0.750, 0.750], [0.000, 0.000, 0.000], [0.500, 0.500, 0.500], [0.250, 0.250, 0.250]]}

=====

No. 6
{"formula": "Pm2ZnNi3As4", "functional": "PBE", "state": "relaxed", "delta_e_f_ev_per_fu": -7.36, "dos_ef_per_ev_atom": 0.4719, "mass_density_kg_m3": 7927, "lattice_angstrom": [[-2.466, -2.991, -1.688], [3.386, -2.464, -0.583], [-1.316, -3.899, 8.828]], "species": ["Ni", "Ni", "Ni", "As", "As", "As", "As", "Pm", "Pm", "Zn"], "frac_coords": [[0.000, 0.500, 0.115], [0.500, 0.000, 0.885], [0.000, 0.000, 0.500], [0.000, 0.500, 0.358], [0.500, 0.000, 0.642], [0.500, 0.500, 0.000], [0.000, 0.000, 0.000], [0.000, 0.500, 0.758], [0.500, 0.000, 0.242], [0.500, 0.500, 0.500]]}

=====

No. 7
{"formula": "ZrGaTcPt2", "functional": "PBE", "state": "relaxed", "delta_e_f_ev_per_fu": 2.77, "dos_ef_per_ev_atom": 0.9215, "mass_density_kg_m3": 10023, "lattice_angstrom": [[-2.023, -2.653, 3.479], [3.364, 1.262, 2.918], [-2.621, 3.804, 1.377]], "species": ["Tc", "Pt", "Pt", "Zr", "Ga"], "frac_coords": [[0.000, 0.000, 0.000], [0.000, 0.000, 0.500], [0.500, 0.000, 0.000], [0.500, 0.500, 0.500], [0.000, 0.500, 0.000]]}